# 1
Entry from Alexandria via LeMat-Bulk: crystalline KPt2Br at its relaxed geometry (PBE-GGA).

Lattice parameters (Å, degrees): 2.7801 4.9413 6.6575 90.00 90.00 90.00
Positions (direct):
Pt 0.5000 0.5000 0.0000
Br 0.5000 0.0000 0.5000
Pt 0.0000 0.0000 0.0000
K 0.0000 0.5000 0.5000

## Properties
energy relative to the elements, uncorrected: 0.134 eV/atom
total magnetic moment: 0.00 μB/atom
calculated total energy: -3.579 eV/atom
energy above the lowest structure with this stoichiometry: 328 meV/atom



# 2
Entry from Alexandria via LeMat-Bulk: crystalline HfMgTe2 at its relaxed geometry (PBE-GGA).

Lattice parameters (Å, degrees): 9.8738 9.8738 9.8738 22.53 22.53 22.53
Positions (direct):
Mg 0.0000 0.0000 0.0000
Hf 0.5000 0.5000 0.5000
Te 0.8964 0.8964 0.8964
Te 0.1036 0.1036 0.1036

## Properties
energy relative to the elements, uncorrected: -0.472 eV/atom
total magnetic moment: 0.00 μB/atom
calculated total energy: -4.930 eV/atom



# 3
Entry from Alexandria via LeMat-Bulk: crystalline Tb2BiS6 at its relaxed geometry (PBE-GGA).

Lattice parameters (Å, degrees): 6.9545 6.9878 8.7528 90.00 99.68 90.00
Positions (direct):
Bi 0.5000 0.5000 0.0000
S 0.1743 0.3366 0.0922
S 0.6979 0.1346 0.9540
Tb 0.5313 0.8456 0.7092
S 0.1985 0.9824 0.8122
S 0.6985 0.5176 0.3122
Tb 0.9687 0.3456 0.7908
S 0.3015 0.4824 0.6878
S 0.1979 0.3654 0.4540
S 0.3257 0.8366 0.4078
Tb 0.0313 0.6544 0.2092
S 0.6743 0.1634 0.5922
Tb 0.4687 0.1544 0.2908
S 0.8021 0.6346 0.5460
Bi 0.0000 0.0000 0.5000
S 0.3021 0.8654 0.0460
S 0.8257 0.6634 0.9078
S 0.8015 0.0176 0.1878

## Properties
energy relative to the elements, uncorrected: -1.037 eV/atom
total magnetic moment: 0.00 μB/atom
calculated total energy: -5.249 eV/atom